A plane-wave DFT calculation with PBE was carried out for a geometry-optimized Na2TiF6 structure.

```
Na2TiF6
1.0
-1.8150 1.2966 4.5420
3.7449 -2.5704 2.2302
5.6885 8.2231 -0.0743
F Na Ti
12 4 2
Direct
0.7651 0.2349 0.5000
0.8182 0.1818 0.8619
0.3182 0.3182 0.3619
0.7349 0.7349 0.0000
0.8182 0.1818 0.1381
0.1818 0.8182 0.8619
0.6818 0.6818 0.6381
0.2349 0.7651 0.5000
0.6818 0.6818 0.3619
0.3182 0.3182 0.6381
0.1818 0.8182 0.1381
0.2651 0.2651 0.0000
0.5000 0.5000 0.1636
0.0000 0.0000 0.3364
0.5000 0.5000 0.8364
0.0000 0.0000 0.6636
0.0000 0.0000 0.0000
0.5000 0.5000 0.5000
```

As for the density of states at the Fermi level: 0.000 states/eV per atom. For the mass density, the calculation gives 2.70 g/cm³. The energy relative to the elements, uncorrected is -3.213 eV per atom.